Below is a relaxed YCrBi3 crystal, with properties calculated at the PBE level.

Properties
SG: No. 221
calculated density: 8.4 g/cm³
calculated formation energy: 124 kJ/mol of formula units
offset from the most stable computed form: 0 meV per atom

```
YCrBi3
1.0
-0.739 -4.790 -2.217
4.074 -1.940 2.835
-3.355 -1.302 3.930
Y Cr Bi
1 1 3
direct
0.500 0.500 0.500
0.000 0.000 0.000
0.000 0.500 0.000
0.000 0.000 0.500
0.500 0.000 0.000
```


Below is a relaxed YCrBi2 crystal, with properties calculated at the PBE level.

Properties
SG: No. 225
calculated density: 9.8 g/cm³
calculated formation energy: 98 kJ/mol of formula units
offset from the most stable computed form: 4 meV per atom

```
YCrBi2
1.0
4.134 -3.017 0.040
2.604 -0.715 4.348
-0.166 -4.535 2.365
Y Cr Bi
1 1 2
direct
0.500 0.500 0.500
0.000 0.000 0.000
0.250 0.250 0.250
0.750 0.750 0.750
```


Below is a relaxed YCrBi2 crystal, with properties calculated at the PBE level.

Properties
SG: No. 122
calculated density: 7.5 g/cm³
calculated formation energy: 97 kJ/mol of formula units
offset from the most stable computed form: 0 meV per atom

```
YCrBi2
1.0
-1.489 -4.460 -1.946
3.147 0.670 -3.943
7.757 -6.294 1.838
Y Cr Bi
2 2 4
direct
0.000 0.000 0.000
0.750 0.250 0.500
0.500 0.500 0.000
0.250 0.750 0.500
0.592 0.125 0.250
0.158 0.625 0.250
0.375 0.408 0.750
0.875 0.842 0.750
```


Below is a relaxed Y3CrBi crystal, with properties calculated at the PBE level.

Properties
SG: No. 221
calculated density: 6.2 g/cm³
calculated formation energy: 81 kJ/mol of formula units
offset from the most stable computed form: 0 meV per atom

```
Y3CrBi
1.0
5.208 0.000 0.000
0.000 5.208 0.000
0.000 0.000 5.208
Y Cr Bi
3 1 1
direct
0.000 0.500 0.000
0.000 0.000 0.500
0.500 0.000 0.000
0.000 0.000 0.000
0.500 0.500 0.500
```


Below is a relaxed Y2CrBi2 crystal, with properties calculated at the PBE level.

Properties
SG: No. 127
calculated density: 7.7 g/cm³
calculated formation energy: -136 kJ/mol of formula units

```
Y2CrBi2
1.0
7.956 0.000 0.000
0.000 7.956 0.000
0.000 0.000 4.388
Y Cr Bi
4 2 4
direct
0.158 0.658 0.500
0.658 0.842 0.500
0.842 0.342 0.500
0.342 0.158 0.500
0.000 0.000 0.000
0.500 0.500 0.000
0.348 0.848 0.000
0.848 0.652 0.000
0.652 0.152 0.000
0.152 0.348 0.000
```


Below is a relaxed YCr2Bi crystal, with properties calculated at the PBE level.

Properties
SG: No. 122
calculated density: 7.7 g/cm³
calculated formation energy: 454 kJ/mol of formula units

```
YCr2Bi
1.0
-5.035 -0.345 -5.743
5.748 -0.644 -5.001
0.256 -3.434 -5.108
Y Cr Bi
2 4 2
direct
0.500 0.500 0.000
0.250 0.750 0.500
0.654 0.125 0.250
0.096 0.625 0.250
0.375 0.346 0.750
0.875 0.904 0.750
0.000 0.000 0.000
0.750 0.250 0.500
```


no.,total DFT energy (no corrections) (eV/atom)
1,-5.29
2,-5.71
3,-5.71
4,-6.41
5,-6.35
6,-6.22